(1)
# CdH2C4S6N4 PBEsol relaxed
# Crystal system: orthorhombic
# Volume in A^3/atom: 17.333
data_CdH2C4S6N4
_chemical_formula_sum 'Cd4 H8 C16 S24 N16'
_cell_length_a 12.831
_cell_length_b 11.795
_cell_length_c 7.788
_cell_angle_alpha 90.00
_cell_angle_beta 90.00
_cell_angle_gamma 90.00
_space_group_name_H-M_alt 'P b c n'
_space_group_IT_number 60
loop_
_space_group_symop_operation_xyz
'x,y,z'
'-x,-y,-z'
'-x+1/2,-y+1/2,z+1/2'
'x+1/2,y+1/2,-z+1/2'
'x+1/2,-y+1/2,-z'
'-x+1/2,y+1/2,z'
'-x,y,-z+1/2'
'x,-y,z+1/2'
loop_
_atom_site_label
_atom_site_type_symbol
_atom_site_fract_x
_atom_site_fract_y
_atom_site_fract_z
Cd1 Cd 0.000 0.140 0.250
H1 H 0.166 0.149 0.609
C1 C 0.091 0.306 0.575
C2 C 0.250 0.108 0.195
S1 S 0.029 0.272 0.998
S2 S 0.129 0.442 0.624
S3 S 0.160 0.017 0.281
N1 N 0.171 0.237 0.611
N2 N 0.241 0.218 0.178



(2)
# Hf2MgCdC PBEsol relaxed
# ΔE_f in eV/atom: 2.37
# Crystal system: tetragonal
# Volume in A^3/atom: 22.639
data_Hf2MgCdC
_chemical_formula_sum 'Hf2 Mg1 Cd1 C1'
_cell_length_a 4.950
_cell_length_b 4.950
_cell_length_c 4.620
_cell_angle_alpha 90.00
_cell_angle_beta 90.00
_cell_angle_gamma 90.00
_space_group_name_H-M_alt 'P 4/m m m'
_space_group_IT_number 123
_space_group_name_Hall '-P 4 2'
loop_
_atom_site_label
_atom_site_type_symbol
_atom_site_fract_x
_atom_site_fract_y
_atom_site_fract_z
Hf1 Hf 0.000 0.500 0.000
Mg1 Mg 0.000 0.000 0.000
Cd1 Cd 0.000 0.000 0.500
C1 C 0.500 0.500 0.500



(3)
# Hf2CdMoC PBEsol relaxed
# ΔE_f in eV/atom: 2.15
# Crystal system: tetragonal
# Volume in A^3/atom: 24.147
data_Hf2CdMoC
_chemical_formula_sum 'Hf2 Cd1 Mo1 C1'
_cell_length_a 4.838
_cell_length_b 4.838
_cell_length_c 5.158
_cell_angle_alpha 90.00
_cell_angle_beta 90.00
_cell_angle_gamma 90.00
_space_group_name_H-M_alt 'P 4/m m m'
_space_group_IT_number 123
_space_group_name_Hall '-P 4 2'
loop_
_atom_site_label
_atom_site_type_symbol
_atom_site_fract_x
_atom_site_fract_y
_atom_site_fract_z
Hf1 Hf 0.000 0.500 0.000
Cd1 Cd 0.000 0.000 0.500
Mo1 Mo 0.000 0.000 0.000
C1 C 0.500 0.500 0.500



Final energy across the listed records, respectively: -105.9 -21.7 -32.9 eV per formula unit.